Record 1
A plane-wave DFT calculation with PBE was carried out for crystalline BaFeRu at its relaxed geometry.

Geometry as POSCAR:
```
BaFeRu
1.0
3.433 -1.982 0.000
0.000 3.964 0.000
0.000 0.000 10.565
Ru Ba Fe
2 2 2
direct
0.333 0.667 0.750
0.667 0.333 0.250
0.000 0.000 0.000
0.000 0.000 0.500
0.333 0.667 0.250
0.667 0.333 0.750
```

Values from the calculation:
- DOS at the Fermi energy: 8.4 states/eV/cell
- Space group: P6_3/mmc
- Total magnetization: 0.0 Bohr magnetons per cell
- DFT formation energy: 0.50 eV/atom
- Energy: -6.052 eV per atom
- Offset from the most stable computed form: 170.1 meV/atom

Record 2
A plane-wave DFT calculation with PBE was carried out for crystalline KGeAs2 at its relaxed geometry.

Geometry as POSCAR:
```
KGeAs2
1.0
-5.057 3.640 -4.442
-3.254 -6.693 -1.780
-6.521 -1.170 -0.127
K As Ge
2 4 2
direct
0.500 0.500 0.000
0.250 0.750 0.500
0.711 0.125 0.250
0.039 0.625 0.250
0.375 0.289 0.750
0.875 0.961 0.750
0.000 0.000 0.000
0.750 0.250 0.500
```

Values from the calculation:
- DOS at the Fermi energy: 6.3 states/eV/cell
- Space group: I-42d
- Total magnetization: 0.0 Bohr magnetons per cell
- DFT formation energy: -0.10 eV/atom
- Energy: -3.849 eV per atom

Which value of energy does entry 1 give? -6.052 eV per atom